Record 1
Density functional theory data (PBE) for a relaxed structure of Tb3Pm2Dy3.

Unit cell a=5.7167 b=14.5716 c=6.2942 alpha=90.00 beta=90.03 gamma=90.00
Closest atoms and distances in Å follow each position.
Fractional positions:
Tb: 0.2501 0.1249 0.1644  3 Tb 3.54-3.65, 3 Pm 3.55-3.64, 6 Dy 3.55-3.65
Tb: 0.2501 0.3751 0.1644  3 Tb 3.54-3.65, 3 Pm 3.55-3.64, 6 Dy 3.55-3.65
Tb: 0.2501 0.7500 0.6705  4 Dy 3.54-3.64, 4 Tb 3.54-3.55, 4 Pm 3.63-3.64
Tb: 0.7499 0.2500 0.3295  4 Dy 3.54-3.64, 4 Tb 3.54-3.55, 4 Pm 3.63-3.64
Tb: 0.7499 0.6249 0.8356  3 Tb 3.54-3.65, 3 Pm 3.55-3.64, 6 Dy 3.55-3.65
Tb: 0.7499 0.8751 0.8356  3 Tb 3.54-3.65, 3 Pm 3.55-3.64, 6 Dy 3.55-3.65
Pm: 0.2507 0.6249 0.1696  6 Dy 3.54-3.65, 5 Tb 3.55-3.64, 1 Pm 3.65
Pm: 0.2507 0.8751 0.1696  6 Dy 3.54-3.65, 5 Tb 3.55-3.64, 1 Pm 3.65
Pm: 0.7493 0.1249 0.8304  6 Dy 3.54-3.65, 5 Tb 3.55-3.64, 1 Pm 3.65
Pm: 0.7493 0.3751 0.8304  6 Dy 3.54-3.65, 5 Tb 3.55-3.64, 1 Pm 3.65
Dy: 0.2499 0.9997 0.6659  3 Dy 3.54-3.65, 4 Pm 3.54-3.65, 5 Tb 3.55-3.65
Dy: 0.2496 0.2500 0.6617  6 Tb 3.54-3.65, 4 Pm 3.55, 2 Dy 3.65
Dy: 0.2499 0.5003 0.6659  3 Dy 3.54-3.65, 4 Pm 3.54-3.65, 5 Tb 3.55-3.65
Dy: 0.7501 0.0003 0.3341  3 Dy 3.54-3.65, 4 Pm 3.54-3.65, 5 Tb 3.55-3.65
Dy: 0.7501 0.4997 0.3341  3 Dy 3.54-3.65, 4 Pm 3.54-3.65, 5 Tb 3.55-3.65
Dy: 0.7504 0.7500 0.3383  6 Tb 3.54-3.65, 4 Pm 3.55, 2 Dy 3.65

Values from the calculation:
* M_tot: 0.000 Bohr magnetons per cell
* SG: P2_1/m
* final energy: -4.63 eV per atom
* ρ: 7945 kg/m3
* DFT formation energy: 0.018 eV/atom

---

Record 2
Density functional theory data (PBE) for a relaxed structure of Tb4Pm4Dy.

Unit cell a=8.8784 b=8.8784 c=6.8684 alpha=111.51 beta=111.51 gamma=36.84
Closest atoms and distances in Å follow each position.
Fractional positions:
Tb: 0.0737 0.0737 0.3797  4 Pm 3.36-3.73, 3 Tb 3.41-3.47, 2 Dy 3.70
Tb: 0.3709 0.3709 0.3137  5 Pm 3.37-3.77, 2 Tb 3.41, 1 Dy 3.61
Tb: 0.6291 0.6291 0.6863  5 Pm 3.37-3.77, 2 Tb 3.41, 1 Dy 3.61
Tb: 0.9263 0.9263 0.6203  4 Pm 3.36-3.73, 3 Tb 3.41-3.47, 2 Dy 3.70
Pm: 0.1329 0.1329 0.9618  5 Tb 3.36-3.73, 3 Pm 3.53-3.55, 2 Dy 3.66
Pm: 0.2819 0.2819 0.7116  4 Tb 3.36-3.77, 1 Dy 3.43, 3 Pm 3.53-3.55
Pm: 0.7181 0.7181 0.2884  4 Tb 3.36-3.77, 1 Dy 3.43, 3 Pm 3.53-3.55
Pm: 0.8671 0.8671 0.0382  5 Tb 3.36-3.73, 3 Pm 3.53-3.55, 2 Dy 3.66
Dy: 0.5000 0.5000 0.0000  6 Pm 3.43-3.66, 6 Tb 3.61-3.70

Values from the calculation:
* offset from the most stable computed form: 87 meV per atom
* M_tot: 0.000 Bohr magnetons per cell
* SG: C2/m
* final energy: -4.58 eV per atom
* ρ: 7645 kg/m3
* DFT formation energy: 0.103 eV/atom

---

Record 3
Density functional theory data (PBE) for a relaxed structure of Tb5Pm4Dy2.

Unit cell a=10.0196 b=10.0196 c=6.6420 alpha=91.00 beta=91.00 gamma=32.88
Closest atoms and distances in Å follow each position.
Fractional positions:
Tb: 0.0000 0.0000 0.0000  6 Pm 3.44-3.77, 2 Dy 3.54
Tb: 0.2917 0.2917 0.5982  4 Tb 3.50-3.66, 4 Pm 3.58-3.69, 3 Dy 3.70-3.75
Tb: 0.3699 0.3699 0.1052  5 Pm 3.10-3.40
Tb: 0.6301 0.6301 0.8948  5 Pm 3.10-3.40
Tb: 0.7083 0.7083 0.4018  4 Tb 3.50-3.66, 4 Pm 3.58-3.69, 3 Dy 3.70-3.75
Pm: 0.1950 0.1950 0.0734  6 Tb 3.31-3.69, 2 Pm 3.68
Pm: 0.4805 0.4805 0.7122  1 Pm 2.93, 1 Tb 3.10
Pm: 0.5195 0.5195 0.2878  1 Pm 2.93, 1 Tb 3.10
Pm: 0.8050 0.8050 0.9266  6 Tb 3.31-3.69, 2 Pm 3.68
Dy: 0.0971 0.0971 0.5522  6 Tb 3.54-3.75, 6 Pm 3.64-3.91, 1 Dy 3.78
Dy: 0.9029 0.9029 0.4478  6 Tb 3.54-3.75, 6 Pm 3.64-3.91, 1 Dy 3.78

Values from the calculation:
* offset from the most stable computed form: 0 meV per atom
* M_tot: 0.000 Bohr magnetons per cell
* SG: C2/m
* final energy: -4.56 eV per atom
* ρ: 7797 kg/m3
* DFT formation energy: 0.107 eV/atom